4
Lattice="3.387 0.000 0.000 0.000 3.387 0.000 0.000 0.000 7.930" Properties=species:S:1:pos:R:3 comment="PBE Pm2FeCl, relaxed" dft_energy_ev_per_atom=-5.52 m_tot_mub_per_cell=0.33 relative_energy_kcal_per_mol_atoms=0.524 pbc="T T T"
Pm 0.000 0.000 1.670
Pm 0.000 0.000 6.260
Fe 1.694 1.694 0.000
Cl 1.694 1.694 3.965

***

5
Lattice="4.762 0.000 0.000 0.000 4.762 0.000 0.000 0.000 5.601" Properties=species:S:1:pos:R:3 comment="PBE SbTeOsRh2, relaxed" dft_energy_ev_per_atom=-4.83 m_tot_mub_per_cell=3.25 pbc="T T T"
Sb 0.000 0.000 0.000
Te 0.000 0.000 2.801
Os 2.381 2.381 0.000
Rh 0.000 2.381 2.801
Rh 2.381 0.000 2.801

***

4
Lattice="4.253 -1.484 0.000 4.253 1.484 0.000 -1.004 0.000 6.616" Properties=species:S:1:pos:R:3 comment="PBE LaAgOs2, relaxed" dft_energy_ev_per_atom=-7.13 m_tot_mub_per_cell=0.00 formation_enthalpy_0k_mev_per_atom=430 relative_energy_kcal_per_mol_atoms=3.316 pbc="T T T"
La 0.000 0.000 0.000
Ag 6.258 0.000 2.118
Os 1.509 0.000 4.540
Os 3.845 0.000 3.773

***

9
Lattice="4.734 -8.909 0.000 4.734 8.909 0.000 0.000 0.000 3.690" Properties=species:S:1:pos:R:3 comment="PBE Pr6YTm2, relaxed" dft_energy_ev_per_atom=-4.77 m_tot_mub_per_cell=0.00 formation_enthalpy_0k_mev_per_atom=127 relative_energy_kcal_per_mol_atoms=1.639 pbc="T T T"
Pr 1.666 2.953 0.000
Pr 1.726 0.000 1.845
Pr 1.666 -2.953 0.000
Pr 7.801 2.953 0.000
Pr 7.741 0.000 1.845
Pr 7.801 -2.953 0.000
Y 4.734 0.000 0.000
Tm 4.734 3.147 1.845
Tm 4.734 -3.147 1.845

***

11
Lattice="2.111 1.219 18.142 -2.111 1.219 18.142 0.000 -2.438 18.142" Properties=species:S:1:pos:R:3 comment="PBE Y2Ag4Se5, relaxed" dft_energy_ev_per_atom=-4.52 m_tot_mub_per_cell=0.00 pbc="T T T"
Y 0.000 0.000 7.401
Y 0.000 0.000 47.025
Ag 0.000 0.000 17.048
Ag 0.000 0.000 22.578
Ag 0.000 0.000 31.849
Ag 0.000 0.000 37.378
Se 0.000 0.000 12.303
Se 0.000 0.000 20.026
Se 0.000 0.000 27.213
Se 0.000 0.000 34.401
Se 0.000 0.000 42.123

***

4
Lattice="-2.073 2.073 3.413 2.073 -2.073 3.413 2.073 2.073 -3.413" Properties=species:S:1:pos:R:3 comment="PBE ZnNi2Te, relaxed" dft_energy_ev_per_atom=-3.94 m_tot_mub_per_cell=0.00 relative_energy_kcal_per_mol_atoms=1.475 pbc="T T T"
Zn 0.000 0.000 0.000
Ni 2.073 0.000 1.706
Ni 0.000 2.073 1.706
Te 0.000 0.000 3.413